DFT (PBE-GGA) results for crystalline TbMg2Bi at its relaxed geometry.

Values from the calculation:
calculated volume = 347.3 Å³ per cell
distance to the lowest polymorph of the same formula = 0.517 eV per atom
energy of formation from the pure elements = 64.3 kJ/mol of formula units
total magnetic moment = 0.00 μB/f.u.

abc: 3.3891 3.3891 34.9127
angles: 90.00 90.00 120.00
Last column: nearest neighbours and their distance in Å.
Positions (direct):
Tb 0.0000 0.0000 0.0000  2 Mg 3.17, 6 Tb 3.39
Tb 0.3333 0.6667 0.6667  2 Mg 3.17, 6 Tb 3.39
Tb 0.6667 0.3333 0.3333  2 Mg 3.17, 6 Tb 3.39
Mg 0.0000 0.0000 0.0908  1 Tb 3.17, 3 Bi 3.29, 6 Mg 3.39
Mg 0.0000 0.0000 0.9092  1 Tb 3.17, 3 Bi 3.29, 6 Mg 3.39
Mg 0.3333 0.6667 0.5759  1 Tb 3.17, 3 Bi 3.29, 6 Mg 3.39
Mg 0.3333 0.6667 0.7575  1 Tb 3.17, 3 Bi 3.29, 6 Mg 3.39
Mg 0.6667 0.3333 0.2425  1 Tb 3.17, 3 Bi 3.29, 6 Mg 3.39
Mg 0.6667 0.3333 0.4241  1 Tb 3.17, 3 Bi 3.29, 6 Mg 3.39
Bi 0.0000 0.0000 0.5000  6 Mg 3.29, 6 Bi 3.39
Bi 0.3333 0.6667 0.1667  6 Mg 3.29, 6 Bi 3.39
Bi 0.6667 0.3333 0.8333  6 Mg 3.29, 6 Bi 3.39